# 1
{"formula": "VCoTe3", "functional": "PBE-GGA", "state": "relaxed", "cell": [[5.009, 0.000, 0.000], [0.000, 5.009, 0.000], [0.000, 0.000, 5.009]], "species": ["V", "Co", "Te", "Te", "Te"], "frac_coords": [[0.000, 0.000, 0.000], [0.500, 0.500, 0.500], [0.000, 0.500, 0.500], [0.500, 0.000, 0.500], [0.500, 0.500, 0.000]], "magmom_total_mub_per_atom": 0.4231, "crystal_system": "cubic", "space_group": "Pm-3m", "formation_energy_uncorrected_ev_per_atom": 0.60}



# 2
{"formula": "VCoTe3", "functional": "PBE-GGA", "state": "relaxed", "cell": [[5.198, 0.000, 0.000], [0.000, 5.198, 0.000], [0.000, 0.000, 5.198]], "species": ["V", "Co", "Te", "Te", "Te"], "frac_coords": [[0.000, 0.000, 0.000], [0.500, 0.500, 0.500], [0.000, 0.000, 0.500], [0.000, 0.500, 0.000], [0.500, 0.000, 0.000]], "magmom_total_mub_per_atom": 0.6803, "crystal_system": "cubic", "space_group": "Pm-3m", "formation_energy_uncorrected_ev_per_atom": 0.82}